## LiLaGdY (PBE-GGA)

Data for LiLaGdY after structural relaxation.

Lattice parameters (Å, degrees): 5.5988 5.5988 5.5988 60.00 60.00 60.00
Fractional coordinates of all 4 atoms:
Li (0.0000, 0.0000, 0.0000)
La (0.2500, 0.2500, 0.2500)
Gd (0.5000, 0.5000, 0.5000)
Y (0.7500, 0.7500, 0.7500)

Summary:
Total DFT energy (no corrections) (eV/atom): -6.672
Density of states at the Fermi level (states/eV per atom): 1.6262
Formation enthalpy at 0 K (kJ/mol of formula units): 68